MgBe | Alexandria | GGA-PBE | relaxed; calculated volume = 15.49 A^3/atom; E_form = 0.2125 eV per atom
1.0
7.263 0.000 0.000
-3.631 6.290 0.000
0.000 0.000 4.068
Be Mg
6 6
direct
0.125 0.563 0.250 Be
0.437 0.563 0.250 Be
0.875 0.437 0.750 Be
0.563 0.437 0.750 Be
0.437 0.875 0.250 Be
0.563 0.125 0.750 Be
0.637 0.819 0.750 Mg
0.181 0.819 0.750 Mg
0.181 0.363 0.750 Mg
0.819 0.637 0.250 Mg
0.819 0.181 0.250 Mg
0.363 0.181 0.250 Mg